A plane-wave DFT calculation with GGA-PBE was carried out for a geometry-optimized Na2ZrOs3O12 structure.

Results
* uncorrected formation energy: -25.900 eV per formula unit
* crystal system: trigonal

Lattice parameters (Å, degrees): 7.4410 7.4410 7.4410 58.37 58.37 58.37
With the nearest neighbours (Å) after each atom.
Fractional positions:
O: 0.9290 0.3036 0.3036  2 Os 1.90
O: 0.6964 0.6964 0.0710  2 Os 1.90
O: 0.0779 0.6541 0.0779  1 Os 1.93, 1 Zr 2.13
O: 0.6964 0.0710 0.6964  2 Os 1.90
O: 0.0710 0.6964 0.6964  2 Os 1.90
O: 0.0779 0.0779 0.6541  1 Os 1.93, 1 Zr 2.13
O: 0.9221 0.9221 0.3459  1 Os 1.93, 1 Zr 2.13
O: 0.3036 0.3036 0.9290  2 Os 1.90
O: 0.6541 0.0779 0.0779  1 Os 1.93, 1 Zr 2.13
O: 0.9221 0.3459 0.9221  1 Os 1.93, 1 Zr 2.13
O: 0.3459 0.9221 0.9221  1 Os 1.93, 1 Zr 2.13
O: 0.3036 0.9290 0.3036  2 Os 1.90
Os: 0.0000 0.0000 0.5000  6 O 1.90-1.93
Os: 0.0000 0.5000 0.0000  6 O 1.90-1.93
Os: 0.5000 0.0000 0.0000  6 O 1.90-1.93
Na: 0.6929 0.6929 0.6929  3 O 2.51
Na: 0.3071 0.3071 0.3071  3 O 2.51
Zr: 0.0000 0.0000 0.0000  6 O 2.13


A plane-wave DFT calculation with GGA-PBE was carried out for a geometry-optimized Y10In3Te3 structure.

Results
* uncorrected formation energy: -11.838 eV per formula unit
* crystal system: hexagonal

Lattice parameters (Å, degrees): 6.4422 9.0153 9.0153 120.00 90.00 90.00
With the nearest neighbours (Å) after each atom.
Fractional positions:
Y: 0.2512 0.6667 0.3333  2 Y 3.21-3.24, 3 In 3.21, 3 Te 3.22
Y: 0.0000 0.7574 0.7574  3 Te 3.07-3.32
Y: 0.5000 0.7615 0.0000  3 In 3.09-3.32
Y: 0.7488 0.3333 0.6667  2 Y 3.21-3.24, 3 In 3.21, 3 Te 3.22
Y: 0.0000 0.2426 0.0000  3 Te 3.07-3.32
Y: 0.0000 0.0000 0.2426  3 Te 3.07-3.32
Y: 0.5000 0.0000 0.7615  3 In 3.09-3.32
Y: 0.5000 0.2385 0.2385  3 In 3.09-3.32
Y: 0.7488 0.6667 0.3333  2 Y 3.21-3.24, 3 In 3.21, 3 Te 3.22
Y: 0.2512 0.3333 0.6667  2 Y 3.21-3.24, 3 In 3.21, 3 Te 3.22
Te: 0.0000 0.0000 0.6111  7 Y 3.07-3.32
Te: 0.0000 0.6111 0.0000  7 Y 3.07-3.32
Te: 0.0000 0.3889 0.3889  7 Y 3.07-3.32
In: 0.5000 0.6073 0.6073  7 Y 3.09-3.32
In: 0.5000 0.3927 0.0000  7 Y 3.09-3.32
In: 0.5000 0.0000 0.3927  7 Y 3.09-3.32


A plane-wave DFT calculation with GGA-PBE was carried out for a geometry-optimized Rb7Ag2O2 structure.

Results
* uncorrected formation energy: -4.735 eV per formula unit
* crystal system: monoclinic

Lattice parameters (Å, degrees): 4.4462 10.9280 10.9280 113.78 101.68 101.68
With the nearest neighbours (Å) after each atom.
Fractional positions:
Rb: 0.2221 0.0713 0.3641  1 O 2.69
Rb: 0.8450 0.3394 0.3394  2 O 2.73
Rb: 0.2221 0.3641 0.0713  1 O 2.69
Rb: 0.7779 0.9287 0.6359  1 O 2.69
Rb: 0.5000 0.0000 0.0000  4 O 3.09-3.14
Rb: 0.7779 0.6359 0.9287  1 O 2.69
Rb: 0.1550 0.6606 0.6606  2 O 2.73
Ag: 0.0000 0.6892 0.3108  8 Rb 3.86-3.93
Ag: 0.0000 0.3108 0.6892  8 Rb 3.86-3.93
O: 0.2034 0.1969 0.1969  4 Rb 2.69-2.73
O: 0.7966 0.8031 0.8031  4 Rb 2.69-2.73


A plane-wave DFT calculation with GGA-PBE was carried out for a geometry-optimized PIrAu structure.

Results
* distance to the lowest polymorph of the same formula: 0.403 eV/atom
* crystal system: cubic
* energy of formation from the pure elements: 0.2485 eV/atom

Lattice parameters (Å, degrees): 4.1173 4.1173 4.1173 60.00 60.00 60.00
With the nearest neighbours (Å) after each atom.
Fractional positions:
Ir: 0.5000 0.5000 0.5000  4 P 2.52
P: 0.7500 0.7500 0.7500  4 Ir 2.52, 4 Au 2.52
Au: 0.0000 0.0000 0.0000  4 P 2.52


| no. | total magnetization (μB/atom) |
| --- | --- |
| 1 | 0.039 |
| 2 | 0.005 |
| 3 | 0.000 |
| 4 | 0.000 |